VASP calculation (PBEsol) on crystalline KZr2Cl at its relaxed geometry.

Cell: 3.070 5.530 6.437 Å, 90.00 90.00 90.00°
Sites, in units of the cell vectors:
K  0.000  0.000  0.000
Zr  0.500  0.245  0.500
Zr  0.500  0.755  0.500
Cl  0.000  0.500  0.000

Output
Energy relative to the elements, uncorrected (kJ/mol of atoms): 43.0
Size of the total moment (μB/cell): 0.00
DOS at the Fermi energy (states/eV/cell): 3.0

***

VASP calculation (PBEsol) on crystalline KZrCl2 at its relaxed geometry.

Cell: 7.564 7.564 7.564 Å, 154.14 151.63 38.76°
Sites, in units of the cell vectors:
K  0.000  0.000  0.000
Zr  0.245  0.745  0.500
Cl  0.617  0.617  0.000
Cl  0.816  0.316  0.500

Output
Energy relative to the elements, uncorrected (kJ/mol of atoms): -96.5
Size of the total moment (μB/cell): 0.62
DOS at the Fermi energy (states/eV/cell): 1.9

***

VASP calculation (PBEsol) on crystalline KZrCl at its relaxed geometry.

Cell: 5.096 5.096 5.096 Å, 60.00 60.00 60.00°
Sites, in units of the cell vectors:
K  0.000  0.000  0.000
Zr  0.750  0.750  0.750
Cl  0.500  0.500  0.500

Output
Energy relative to the elements, uncorrected (kJ/mol of atoms): 83.3
Size of the total moment (μB/cell): 3.73
DOS at the Fermi energy (states/eV/cell): 2.7

***

VASP calculation (PBEsol) on crystalline La3Cl at its relaxed geometry.

Cell: 10.356 10.356 10.356 Å, 20.61 20.61 20.61°
Sites, in units of the cell vectors:
La  0.000  0.000  0.000
La  0.239  0.239  0.239
La  0.761  0.761  0.761
Cl  0.500  0.500  0.500

Output
Energy relative to the elements, uncorrected (kJ/mol of atoms): -71.7
Size of the total moment (μB/cell): 0.00
DOS at the Fermi energy (states/eV/cell): 2.3

***

VASP calculation (PBEsol) on crystalline La3Cl at its relaxed geometry.

Cell: 6.081 6.081 6.081 Å, 144.85 75.60 115.54°
Sites, in units of the cell vectors:
La  0.000  0.000  0.000
La  0.207  0.406  0.801
La  0.605  0.406  0.199
Cl  0.648  0.148  0.500

Output
Energy relative to the elements, uncorrected (kJ/mol of atoms): -61.6
Size of the total moment (μB/cell): 0.00
DOS at the Fermi energy (states/eV/cell): 5.1

***

VASP calculation (PBEsol) on crystalline LaCl3 at its relaxed geometry.

Cell: 4.943 4.943 4.943 Å, 60.00 60.00 60.00°
Sites, in units of the cell vectors:
La  0.000  0.000  0.000
Cl  0.250  0.250  0.250
Cl  0.500  0.500  0.500
Cl  0.750  0.750  0.750

Output
Energy relative to the elements, uncorrected (kJ/mol of atoms): -202.1
Size of the total moment (μB/cell): 0.00
DOS at the Fermi energy (states/eV/cell): 0.0

***

VASP calculation (PBEsol) on crystalline La3Cl at its relaxed geometry.

Cell: 4.787 4.787 4.787 Å, 90.00 90.00 90.00°
Sites, in units of the cell vectors:
La  0.000  0.000  0.500
La  0.000  0.500  0.000
La  0.500  0.000  0.000
Cl  0.500  0.500  0.500

Output
Energy relative to the elements, uncorrected (kJ/mol of atoms): -26.9
Size of the total moment (μB/cell): 0.00
DOS at the Fermi energy (states/eV/cell): 5.8

***

VASP calculation (PBEsol) on crystalline LaCl3 at its relaxed geometry.

Cell: 7.427 7.427 4.309 Å, 90.00 90.00 120.00°
Sites, in units of the cell vectors:
La  0.333  0.667  0.250
La  0.667  0.333  0.750
Cl  0.086  0.388  0.750
Cl  0.302  0.914  0.750
Cl  0.388  0.302  0.250
Cl  0.612  0.698  0.750
Cl  0.698  0.086  0.250
Cl  0.914  0.612  0.250

Output
Energy relative to the elements, uncorrected (kJ/mol of atoms): -234.6
Size of the total moment (μB/cell): 0.00
DOS at the Fermi energy (states/eV/cell): 0.0

***

VASP calculation (PBEsol) on crystalline LaCl3 at its relaxed geometry.

Cell: 5.678 5.678 5.678 Å, 138.50 79.54 115.63°
Sites, in units of the cell vectors:
La  0.000  0.000  0.000
Cl  0.003  0.694  0.309
Cl  0.385  0.694  0.691
Cl  0.692  0.192  0.500

Output
Energy relative to the elements, uncorrected (kJ/mol of atoms): -221.8
Size of the total moment (μB/cell): 0.00
DOS at the Fermi energy (states/eV/cell): 0.0

***

VASP calculation (PBEsol) on crystalline LaCl3 at its relaxed geometry.

Cell: 7.555 8.778 5.970 Å, 90.00 90.00 90.00°
Sites, in units of the cell vectors:
La  0.126  0.250  0.049
La  0.374  0.750  0.549
La  0.626  0.250  0.451
La  0.874  0.750  0.951
Cl  0.030  0.750  0.380
Cl  0.171  0.561  0.855
Cl  0.171  0.939  0.855
Cl  0.329  0.061  0.355
Cl  0.329  0.439  0.355
Cl  0.470  0.250  0.880
Cl  0.530  0.750  0.120
Cl  0.671  0.561  0.645
Cl  0.671  0.939  0.645
Cl  0.829  0.061  0.145
Cl  0.829  0.439  0.145
Cl  0.970  0.250  0.620

Output
Energy relative to the elements, uncorrected (kJ/mol of atoms): -229.1
Size of the total moment (μB/cell): 0.00
DOS at the Fermi energy (states/eV/cell): 0.0

***

VASP calculation (PBEsol) on crystalline La3Cl at its relaxed geometry.

Cell: 3.673 3.673 10.230 Å, 90.00 90.00 120.00°
Sites, in units of the cell vectors:
La  0.000  0.000  0.000
La  0.333  0.667  0.289
La  0.333  0.667  0.711
Cl  0.000  0.000  0.500

Output
Energy relative to the elements, uncorrected (kJ/mol of atoms): -72.1
Size of the total moment (μB/cell): 0.00
DOS at the Fermi energy (states/eV/cell): 4.7

***

VASP calculation (PBEsol) on crystalline La2Cl3 at its relaxed geometry.

Cell: 9.965 9.965 9.965 Å, 23.45 23.45 23.45°
Sites, in units of the cell vectors:
La  0.112  0.112  0.112
La  0.888  0.888  0.888
Cl  0.279  0.279  0.279
Cl  0.500  0.500  0.500
Cl  0.721  0.721  0.721

Output
Energy relative to the elements, uncorrected (kJ/mol of atoms): -186.8
Size of the total moment (μB/cell): 0.00
DOS at the Fermi energy (states/eV/cell): 2.6

***

VASP calculation (PBEsol) on crystalline Rb2LiLaCl6 at its relaxed geometry.

Cell: 7.420 7.420 7.420 Å, 60.00 60.00 60.00°
Sites, in units of the cell vectors:
Rb  0.250  0.250  0.250
Rb  0.750  0.750  0.750
Li  0.000  0.000  0.000
La  0.500  0.500  0.500
Cl  0.240  0.240  0.760
Cl  0.240  0.760  0.240
Cl  0.240  0.760  0.760
Cl  0.760  0.240  0.240
Cl  0.760  0.240  0.760
Cl  0.760  0.760  0.240

Output
Energy relative to the elements, uncorrected (kJ/mol of atoms): -201.5
Size of the total moment (μB/cell): 0.00
DOS at the Fermi energy (states/eV/cell): 0.0

***

VASP calculation (PBEsol) on crystalline LaMg2Cl at its relaxed geometry.

Cell: 6.364 6.364 6.364 Å, 148.26 125.67 64.30°
Sites, in units of the cell vectors:
La  0.000  0.000  0.000
Mg  0.286  0.786  0.500
Mg  0.572  0.572  0.000
Cl  0.787  0.287  0.500

Output
Energy relative to the elements, uncorrected (kJ/mol of atoms): -44.1
Size of the total moment (μB/cell): 0.00
DOS at the Fermi energy (states/eV/cell): 3.4

***

VASP calculation (PBEsol) on crystalline La2MgCl at its relaxed geometry.

Cell: 3.506 3.506 10.250 Å, 90.00 90.00 116.95°
Sites, in units of the cell vectors:
La  0.000  0.000  0.000
La  0.500  0.500  0.294
Mg  0.500  0.500  0.728
Cl  0.000  0.000  0.525

Output
Energy relative to the elements, uncorrected (kJ/mol of atoms): -54.2
Size of the total moment (μB/cell): 0.00
DOS at the Fermi energy (states/eV/cell): 3.3

***

VASP calculation (PBEsol) on crystalline LaMg2Cl at its relaxed geometry.

Cell: 5.406 5.406 6.322 Å, 108.55 108.55 36.30°
Sites, in units of the cell vectors:
La  0.000  0.000  0.000
Mg  0.559  0.559  0.521
Mg  0.805  0.805  0.376
Cl  0.248  0.248  0.862

Output
Energy relative to the elements, uncorrected (kJ/mol of atoms): -51.8
Size of the total moment (μB/cell): 0.00
DOS at the Fermi energy (states/eV/cell): 2.7

***

VASP calculation (PBEsol) on crystalline LaMg2Cl at its relaxed geometry.

Cell: 6.710 6.710 6.710 Å, 144.30 144.30 51.38°
Sites, in units of the cell vectors:
La  0.000  0.000  0.000
Mg  0.250  0.750  0.500
Mg  0.750  0.250  0.500
Cl  0.500  0.500  0.000

Output
Energy relative to the elements, uncorrected (kJ/mol of atoms): -56.6
Size of the total moment (μB/cell): 0.00
DOS at the Fermi energy (states/eV/cell): 3.0

***

VASP calculation (PBEsol) on crystalline La2MgCl at its relaxed geometry.

Cell: 5.343 5.343 5.343 Å, 60.00 60.00 60.00°
Sites, in units of the cell vectors:
La  0.000  0.000  0.000
La  0.250  0.250  0.250
Mg  0.750  0.750  0.750
Cl  0.500  0.500  0.500

Output
Energy relative to the elements, uncorrected (kJ/mol of atoms): -7.7
Size of the total moment (μB/cell): 0.00
DOS at the Fermi energy (states/eV/cell): 5.8

***

VASP calculation (PBEsol) on crystalline La2MgCl at its relaxed geometry.

Cell: 8.153 8.153 8.153 Å, 29.70 29.70 29.70°
Sites, in units of the cell vectors:
La  0.234  0.234  0.234
La  0.766  0.766  0.766
Mg  0.000  0.000  0.000
Cl  0.500  0.500  0.500

Output
Energy relative to the elements, uncorrected (kJ/mol of atoms): -69.8
Size of the total moment (μB/cell): 0.00
DOS at the Fermi energy (states/eV/cell): 4.4

***

VASP calculation (PBEsol) on crystalline LaMg2Cl at its relaxed geometry.

Cell: 3.499 5.587 5.693 Å, 90.00 90.00 90.00°
Sites, in units of the cell vectors:
La  0.000  0.000  0.000
Mg  0.500  0.500  0.246
Mg  0.500  0.500  0.754
Cl  0.000  0.000  0.500

Output
Energy relative to the elements, uncorrected (kJ/mol of atoms): -40.6
Size of the total moment (μB/cell): 0.00
DOS at the Fermi energy (states/eV/cell): 2.0

***

VASP calculation (PBEsol) on crystalline LaMn2Cl at its relaxed geometry.

Cell: 3.215 3.174 7.560 Å, 90.00 102.34 90.00°
Sites, in units of the cell vectors:
La  0.000  0.000  0.000
Mn  0.219  0.000  0.439
Mn  0.645  0.500  0.291
Cl  0.358  0.500  0.717

Output
Energy relative to the elements, uncorrected (kJ/mol of atoms): -11.1
Size of the total moment (μB/cell): 0.96
DOS at the Fermi energy (states/eV/cell): 2.9

***

VASP calculation (PBEsol) on crystalline La2MnCl at its relaxed geometry.

Cell: 3.366 3.366 8.015 Å, 90.00 90.00 90.00°
Sites, in units of the cell vectors:
La  0.000  0.000  0.218
La  0.000  0.000  0.782
Mn  0.500  0.500  0.000
Cl  0.500  0.500  0.500

Output
Energy relative to the elements, uncorrected (kJ/mol of atoms): -48.3
Size of the total moment (μB/cell): 0.66
DOS at the Fermi energy (states/eV/cell): 4.1

***

VASP calculation (PBEsol) on crystalline La2MnCl at its relaxed geometry.

Cell: 5.107 5.107 5.107 Å, 60.00 60.00 60.00°
Sites, in units of the cell vectors:
La  0.000  0.000  0.000
La  0.250  0.250  0.250
Mn  0.750  0.750  0.750
Cl  0.500  0.500  0.500

Output
Energy relative to the elements, uncorrected (kJ/mol of atoms): 18.7
Size of the total moment (μB/cell): 2.29
DOS at the Fermi energy (states/eV/cell): 6.3

***

VASP calculation (PBEsol) on crystalline LaMnCl2 at its relaxed geometry.

Cell: 3.588 3.588 6.870 Å, 90.00 90.00 90.00°
Sites, in units of the cell vectors:
La  0.000  0.000  0.000
Mn  0.500  0.500  0.308
Cl  0.000  0.000  0.424
Cl  0.500  0.500  0.759

Output
Energy relative to the elements, uncorrected (kJ/mol of atoms): -88.0
Size of the total moment (μB/cell): 4.09
DOS at the Fermi energy (states/eV/cell): 2.7

***

VASP calculation (PBEsol) on crystalline LaMn2Cl at its relaxed geometry.

Cell: 5.017 5.017 5.017 Å, 136.68 112.03 84.11°
Sites, in units of the cell vectors:
La  0.000  0.000  0.000
Mn  0.500  0.500  0.000
Mn  0.680  0.180  0.500
Cl  0.302  0.802  0.500

Output
Energy relative to the elements, uncorrected (kJ/mol of atoms): 16.0
Size of the total moment (μB/cell): 0.40
DOS at the Fermi energy (states/eV/cell): 5.0

***

VASP calculation (PBEsol) on crystalline LaMnCl2 at its relaxed geometry.

Cell: 9.432 9.432 9.432 Å, 21.23 21.23 21.23°
Sites, in units of the cell vectors:
La  0.000  0.000  0.000
Mn  0.500  0.500  0.500
Cl  0.259  0.259  0.259
Cl  0.741  0.741  0.741

Output
Energy relative to the elements, uncorrected (kJ/mol of atoms): -69.9
Size of the total moment (μB/cell): 4.76
DOS at the Fermi energy (states/eV/cell): 2.3

***

VASP calculation (PBEsol) on crystalline LaMn2Cl at its relaxed geometry.

Cell: 5.780 5.780 4.612 Å, 111.19 111.19 32.86°
Sites, in units of the cell vectors:
La  0.000  0.000  0.000
Mn  0.280  0.280  0.150
Mn  0.720  0.720  0.850
Cl  0.500  0.500  0.500

Output
Energy relative to the elements, uncorrected (kJ/mol of atoms): 7.4
Size of the total moment (μB/cell): 0.00
DOS at the Fermi energy (states/eV/cell): 3.0

***

VASP calculation (PBEsol) on crystalline LaMn2Cl at its relaxed geometry.

Cell: 3.236 3.236 8.368 Å, 90.00 90.00 90.00°
Sites, in units of the cell vectors:
La  0.000  0.000  0.000
Mn  0.000  0.000  0.385
Mn  0.500  0.500  0.280
Cl  0.500  0.500  0.785

Output
Energy relative to the elements, uncorrected (kJ/mol of atoms): -6.1
Size of the total moment (μB/cell): 1.01
DOS at the Fermi energy (states/eV/cell): 2.9

***

VASP calculation (PBEsol) on crystalline LaMn2Cl at its relaxed geometry.

Cell: 4.835 4.835 4.835 Å, 60.00 60.00 60.00°
Sites, in units of the cell vectors:
La  0.000  0.000  0.000
Mn  0.250  0.250  0.250
Mn  0.500  0.500  0.500
Cl  0.750  0.750  0.750

Output
Energy relative to the elements, uncorrected (kJ/mol of atoms): 31.3
Size of the total moment (μB/cell): 0.00
DOS at the Fermi energy (states/eV/cell): 6.8